Record 1
Computed, not measured: crystalline MnTc2Se at its relaxed geometry at the PBE-GGA level of DFT.

D(E_F)	0.95	states/eV/atom
ΔE_f (raw)	0.255	eV/atom
symmetry	Immm (71)
total magnetization	2.0	μB per cell
raw total energy	-8.0918	eV/atom

```
data_MnTc2Se
_chemical_formula_sum 'Mn1 Tc2 Se1'
_space_group_name_H-M_alt 'P 1'
_space_group_IT_number 1
_cell_length_a 5.2129
_cell_length_b 5.2129
_cell_length_c 5.2129
_cell_angle_alpha 146.40
_cell_angle_beta 131.24
_cell_angle_gamma 60.52
loop_
_space_group_symop_operation_xyz
'x,y,z'
loop_
_atom_site_label
_atom_site_fract_x
_atom_site_fract_y
_atom_site_fract_z
Tc1 0.0313 0.0313 0.0000
Tc2 0.4687 0.4687 0.0000
Mn1 0.7500 0.2500 0.5000
Se1 0.2500 0.7500 0.5000
```

Record 2
Computed, not measured: crystalline MnTc2Se at its relaxed geometry at the PBE-GGA level of DFT.

D(E_F)	0.83	states/eV/atom
ΔE_f (raw)	0.274	eV/atom
symmetry	R-3m (166)
total magnetization	1.4	μB per cell
raw total energy	-8.0721	eV/atom

```
data_MnTc2Se
_chemical_formula_sum 'Mn1 Tc2 Se1'
_space_group_name_H-M_alt 'P 1'
_space_group_IT_number 1
_cell_length_a 8.2867
_cell_length_b 8.2867
_cell_length_c 8.2867
_cell_angle_alpha 20.02
_cell_angle_beta 20.02
_cell_angle_gamma 20.02
loop_
_space_group_symop_operation_xyz
'x,y,z'
loop_
_atom_site_label
_atom_site_fract_x
_atom_site_fract_y
_atom_site_fract_z
Mn1 0.2500 0.2500 0.2500
Se1 0.7500 0.7500 0.7500
Tc1 0.9984 0.9984 0.9984
Tc2 0.5016 0.5016 0.5016
```

Record 3
Computed, not measured: crystalline MnTc2Se at its relaxed geometry at the PBE-GGA level of DFT.

D(E_F)	0.71	states/eV/atom
ΔE_f (raw)	0.681	eV/atom
symmetry	I-42d (122)
total magnetization	0.0	μB per cell
raw total energy	-7.6660	eV/atom

```
data_MnTc2Se
_chemical_formula_sum 'Mn2 Tc4 Se2'
_space_group_name_H-M_alt 'P 1'
_space_group_IT_number 1
_cell_length_a 5.3936
_cell_length_b 5.3936
_cell_length_c 6.5823
_cell_angle_alpha 65.81
_cell_angle_beta 65.81
_cell_angle_gamma 90.00
loop_
_space_group_symop_operation_xyz
'x,y,z'
loop_
_atom_site_label
_atom_site_fract_x
_atom_site_fract_y
_atom_site_fract_z
Tc1 0.1534 0.6250 0.2500
Tc2 0.5966 0.1250 0.2500
Tc3 0.3750 0.4034 0.7500
Tc4 0.8750 0.8466 0.7500
Se1 0.7500 0.2500 0.5000
Se2 0.0000 0.0000 0.0000
Mn1 0.5000 0.5000 0.0000
Mn2 0.2500 0.7500 0.5000
```

Record 4
Computed, not measured: crystalline MnTc2Se at its relaxed geometry at the PBE-GGA level of DFT.

D(E_F)	0.64	states/eV/atom
ΔE_f (raw)	0.137	eV/atom
symmetry	P4/mmm (123)
total magnetization	2.3	μB per cell
raw total energy	-8.2092	eV/atom

```
data_MnTc2Se
_chemical_formula_sum 'Mn1 Tc2 Se1'
_space_group_name_H-M_alt 'P 1'
_space_group_IT_number 1
_cell_length_a 4.3169
_cell_length_b 4.3169
_cell_length_c 3.0355
_cell_angle_alpha 90.00
_cell_angle_beta 90.00
_cell_angle_gamma 90.00
loop_
_space_group_symop_operation_xyz
'x,y,z'
loop_
_atom_site_label
_atom_site_fract_x
_atom_site_fract_y
_atom_site_fract_z
Mn1 0.5000 0.0000 0.5000
Tc1 0.5000 0.5000 0.0000
Tc2 0.0000 0.0000 0.0000
Se1 0.0000 0.5000 0.5000
```

Record 5
Computed, not measured: crystalline MnTc2Se at its relaxed geometry at the PBE-GGA level of DFT.

D(E_F)	1.23	states/eV/atom
ΔE_f (raw)	0.493	eV/atom
symmetry	Cmmm (65)
total magnetization	1.9	μB per cell
raw total energy	-7.8538	eV/atom

```
data_MnTc2Se
_chemical_formula_sum 'Mn1 Tc2 Se1'
_space_group_name_H-M_alt 'P 1'
_space_group_IT_number 1
_cell_length_a 2.7503
_cell_length_b 2.7503
_cell_length_c 8.6261
_cell_angle_alpha 90.00
_cell_angle_beta 90.00
_cell_angle_gamma 113.19
loop_
_space_group_symop_operation_xyz
'x,y,z'
loop_
_atom_site_label
_atom_site_fract_x
_atom_site_fract_y
_atom_site_fract_z
Tc1 0.0000 0.0000 0.4815
Tc2 0.0000 0.0000 0.0185
Se1 0.5000 0.5000 0.7500
Mn1 0.5000 0.5000 0.2500
```

Record 6
Computed, not measured: crystalline MnTcSe3 at its relaxed geometry at the PBE-GGA level of DFT.

D(E_F)	0.58	states/eV/atom
E above lowest polymorph	0	meV per atom
ΔE_f (raw)	0.667	eV/atom
symmetry	Pm-3m (221)
total magnetization	0.7	μB per cell
raw total energy	-5.3313	eV/atom

```
data_MnTcSe3
_chemical_formula_sum 'Mn1 Tc1 Se3'
_space_group_name_H-M_alt 'P 1'
_space_group_IT_number 1
_cell_length_a 4.8005
_cell_length_b 4.8005
_cell_length_c 4.8005
_cell_angle_alpha 90.00
_cell_angle_beta 90.00
_cell_angle_gamma 90.00
loop_
_space_group_symop_operation_xyz
'x,y,z'
loop_
_atom_site_label
_atom_site_fract_x
_atom_site_fract_y
_atom_site_fract_z
Se1 0.5000 0.0000 0.0000
Se2 0.0000 0.5000 0.0000
Se3 0.0000 0.0000 0.5000
Tc1 0.5000 0.5000 0.5000
Mn1 0.0000 0.0000 0.0000
```

Record 7
Computed, not measured: crystalline MnTc2Se at its relaxed geometry at the PBE-GGA level of DFT.

D(E_F)	0.85	states/eV/atom
ΔE_f (raw)	0.346	eV/atom
symmetry	I-4m2 (119)
total magnetization	2.6	μB per cell
raw total energy	-8.0006	eV/atom

```
data_MnTc2Se
_chemical_formula_sum 'Mn1 Tc2 Se1'
_space_group_name_H-M_alt 'P 1'
_space_group_IT_number 1
_cell_length_a 4.9070
_cell_length_b 4.9070
_cell_length_c 4.9070
_cell_angle_alpha 135.36
_cell_angle_beta 135.36
_cell_angle_gamma 64.97
loop_
_space_group_symop_operation_xyz
'x,y,z'
loop_
_atom_site_label
_atom_site_fract_x
_atom_site_fract_y
_atom_site_fract_z
Mn1 0.5000 0.5000 0.0000
Tc1 0.2500 0.7500 0.5000
Tc2 0.0000 0.0000 0.0000
Se1 0.7500 0.2500 0.5000
```

Record 8
Computed, not measured: crystalline MnTc2Se at its relaxed geometry at the PBE-GGA level of DFT.

D(E_F)	0.91	states/eV/atom
ΔE_f (raw)	0.272	eV/atom
symmetry	P2/m (10)
total magnetization	2.8	μB per cell
raw total energy	-8.0749	eV/atom

```
data_MnTc2Se
_chemical_formula_sum 'Mn1 Tc2 Se1'
_space_group_name_H-M_alt 'P 1'
_space_group_IT_number 1
_cell_length_a 2.9524
_cell_length_b 4.9430
_cell_length_c 5.1473
_cell_angle_alpha 51.71
_cell_angle_beta 90.00
_cell_angle_gamma 90.00
loop_
_space_group_symop_operation_xyz
'x,y,z'
loop_
_atom_site_label
_atom_site_fract_x
_atom_site_fract_y
_atom_site_fract_z
Tc1 0.5000 0.5000 0.0000
Tc2 0.0000 0.0000 0.0000
Mn1 0.5000 0.5000 0.5000
Se1 0.0000 0.0000 0.5000
```

Record 9
Computed, not measured: crystalline MnTc2Se at its relaxed geometry at the PBE-GGA level of DFT.

D(E_F)	1.09	states/eV/atom
ΔE_f (raw)	0.422	eV/atom
symmetry	Cmm2 (35)
total magnetization	3.3	μB per cell
raw total energy	-7.9241	eV/atom

```
data_MnTc2Se
_chemical_formula_sum 'Mn1 Tc2 Se1'
_space_group_name_H-M_alt 'P 1'
_space_group_IT_number 1
_cell_length_a 2.7848
_cell_length_b 2.7848
_cell_length_c 8.6435
_cell_angle_alpha 90.00
_cell_angle_beta 90.00
_cell_angle_gamma 113.20
loop_
_space_group_symop_operation_xyz
'x,y,z'
loop_
_atom_site_label
_atom_site_fract_x
_atom_site_fract_y
_atom_site_fract_z
Tc1 0.0000 0.0000 0.0141
Tc2 0.5000 0.5000 0.2532
Mn1 0.0000 0.0000 0.4962
Se1 0.5000 0.5000 0.7365
```

Record 10
Computed, not measured: crystalline MnTcSe at its relaxed geometry at the PBE-GGA level of DFT.

D(E_F)	1.14	states/eV/atom
E above lowest polymorph	51	meV per atom
ΔE_f (raw)	0.204	eV/atom
symmetry	P-6m2 (187)
total magnetization	2.9	μB per cell
raw total energy	-7.4695	eV/atom

```
data_MnTcSe
_chemical_formula_sum 'Mn1 Tc1 Se1'
_space_group_name_H-M_alt 'P 1'
_space_group_IT_number 1
_cell_length_a 4.1870
_cell_length_b 4.1870
_cell_length_c 3.0716
_cell_angle_alpha 90.00
_cell_angle_beta 90.00
_cell_angle_gamma 120.00
loop_
_space_group_symop_operation_xyz
'x,y,z'
loop_
_atom_site_label
_atom_site_fract_x
_atom_site_fract_y
_atom_site_fract_z
Se1 0.3333 0.6667 0.5002
Tc1 0.6667 0.3333 0.4997
Mn1 0.0000 0.0000 0.0001
```

Record 11
Computed, not measured: crystalline MnTcSe at its relaxed geometry at the PBE-GGA level of DFT.

D(E_F)	0.58	states/eV/atom
E above lowest polymorph	0	meV per atom
ΔE_f (raw)	0.153	eV/atom
symmetry	Cm (8)
total magnetization	3.5	μB per cell
raw total energy	-7.5204	eV/atom

```
data_MnTcSe
_chemical_formula_sum 'Mn2 Tc2 Se2'
_space_group_name_H-M_alt 'P 1'
_space_group_IT_number 1
_cell_length_a 5.3111
_cell_length_b 5.3111
_cell_length_c 13.2428
_cell_angle_alpha 31.93
_cell_angle_beta 31.93
_cell_angle_gamma 33.58
loop_
_space_group_symop_operation_xyz
'x,y,z'
loop_
_atom_site_label
_atom_site_fract_x
_atom_site_fract_y
_atom_site_fract_z
Se1 0.1741 0.1741 0.3721
Se2 0.3988 0.3988 0.9936
Mn1 0.9091 0.9091 0.3100
Mn2 0.7687 0.7687 0.9203
Tc1 0.7031 0.7031 0.6046
Tc2 0.3057 0.3057 0.7215
```

Record 12
Computed, not measured: crystalline MnTe2Se at its relaxed geometry at the PBE-GGA level of DFT.

D(E_F)	0.84	states/eV/atom
ΔE_f (raw)	0.397	eV/atom
symmetry	P4/mmm (123)
total magnetization	4.2	μB per cell
raw total energy	-4.3375	eV/atom

```
data_MnTe2Se
_chemical_formula_sum 'Mn1 Te2 Se1'
_space_group_name_H-M_alt 'P 1'
_space_group_IT_number 1
_cell_length_a 5.1901
_cell_length_b 5.1901
_cell_length_c 3.4806
_cell_angle_alpha 90.00
_cell_angle_beta 90.00
_cell_angle_gamma 90.00
loop_
_space_group_symop_operation_xyz
'x,y,z'
loop_
_atom_site_label
_atom_site_fract_x
_atom_site_fract_y
_atom_site_fract_z
Te1 0.0000 0.0000 0.0000
Te2 0.5000 0.5000 0.0000
Se1 0.0000 0.5000 0.5000
Mn1 0.5000 0.0000 0.5000
```

Record 13
Computed, not measured: crystalline Mn2TeSe at its relaxed geometry at the PBE-GGA level of DFT.

D(E_F)	1.26	states/eV/atom
E above lowest polymorph	760	meV per atom
ΔE_f (raw)	0.583	eV/atom
symmetry	F-43m (216)
total magnetization	8.5	μB per cell
raw total energy	-5.6584	eV/atom

```
data_Mn2TeSe
_chemical_formula_sum 'Mn2 Te1 Se1'
_space_group_name_H-M_alt 'P 1'
_space_group_IT_number 1
_cell_length_a 4.8661
_cell_length_b 4.8661
_cell_length_c 4.8661
_cell_angle_alpha 60.00
_cell_angle_beta 60.00
_cell_angle_gamma 60.00
loop_
_space_group_symop_operation_xyz
'x,y,z'
loop_
_atom_site_label
_atom_site_fract_x
_atom_site_fract_y
_atom_site_fract_z
Te1 0.2500 0.2500 0.2500
Mn1 0.7500 0.7500 0.7500
Mn2 0.0000 0.0000 0.0000
Se1 0.5000 0.5000 0.5000
```

Record 14
Computed, not measured: crystalline Mn2Te2Se at its relaxed geometry at the PBE-GGA level of DFT.

D(E_F)	0.29	states/eV/atom
ΔE_f (raw)	-0.255	eV/atom
symmetry	R-3m (166)
total magnetization	7.7	μB per cell
raw total energy	-5.8762	eV/atom

```
data_Mn2Te2Se
_chemical_formula_sum 'Mn2 Te2 Se1'
_space_group_name_H-M_alt 'P 1'
_space_group_IT_number 1
_cell_length_a 3.7612
_cell_length_b 3.7612
_cell_length_c 10.4949
_cell_angle_alpha 79.68
_cell_angle_beta 79.68
_cell_angle_gamma 60.00
loop_
_space_group_symop_operation_xyz
'x,y,z'
loop_
_atom_site_label
_atom_site_fract_x
_atom_site_fract_y
_atom_site_fract_z
Mn1 0.3846 0.3846 0.8461
Mn2 0.6154 0.6154 0.1539
Se1 0.0000 0.0000 0.0000
Te1 0.7705 0.7705 0.6886
Te2 0.2295 0.2295 0.3114
```

Record 15
Computed, not measured: crystalline Mn2TeSe at its relaxed geometry at the PBE-GGA level of DFT.

D(E_F)	0.61	states/eV/atom
E above lowest polymorph	92	meV per atom
ΔE_f (raw)	-0.084	eV/atom
symmetry	Amm2 (38)
total magnetization	7.8	μB per cell
raw total energy	-6.3258	eV/atom

```
data_Mn2TeSe
_chemical_formula_sum 'Mn2 Te1 Se1'
_space_group_name_H-M_alt 'P 1'
_space_group_IT_number 1
_cell_length_a 6.7551
_cell_length_b 6.7551
_cell_length_c 3.6250
_cell_angle_alpha 89.96
_cell_angle_beta 89.96
_cell_angle_gamma 30.85
loop_
_space_group_symop_operation_xyz
'x,y,z'
loop_
_atom_site_label
_atom_site_fract_x
_atom_site_fract_y
_atom_site_fract_z
Te1 0.2179 0.2179 0.1253
Mn1 0.0062 0.0062 0.1248
Mn2 0.8133 0.8133 0.6250
Se1 0.4625 0.4625 0.6249
```

Record 16
Computed, not measured: crystalline MnTe2Se at its relaxed geometry at the PBE-GGA level of DFT.

D(E_F)	0.86	states/eV/atom
ΔE_f (raw)	0.079	eV/atom
symmetry	I4/mmm (139)
total magnetization	4.4	μB per cell
raw total energy	-4.6551	eV/atom

```
data_MnTe2Se
_chemical_formula_sum 'Mn1 Te2 Se1'
_space_group_name_H-M_alt 'P 1'
_space_group_IT_number 1
_cell_length_a 5.1623
_cell_length_b 5.1623
_cell_length_c 5.1634
_cell_angle_alpha 69.09
_cell_angle_beta 69.09
_cell_angle_gamma 106.59
loop_
_space_group_symop_operation_xyz
'x,y,z'
loop_
_atom_site_label
_atom_site_fract_x
_atom_site_fract_y
_atom_site_fract_z
Se1 0.0000 0.5000 0.5000
Te1 0.0000 0.0000 0.0000
Te2 0.5000 0.5000 0.0000
Mn1 0.5000 0.0000 0.5000
```

Record 17
Computed, not measured: crystalline MnTe2Se at its relaxed geometry at the PBE-GGA level of DFT.

D(E_F)	0.85	states/eV/atom
ΔE_f (raw)	0.266	eV/atom
symmetry	P4/mmm (123)
total magnetization	1.9	μB per cell
raw total energy	-4.4688	eV/atom

```
data_MnTe2Se
_chemical_formula_sum 'Mn1 Te2 Se1'
_space_group_name_H-M_alt 'P 1'
_space_group_IT_number 1
_cell_length_a 3.1511
_cell_length_b 3.1511
_cell_length_c 9.1834
_cell_angle_alpha 90.00
_cell_angle_beta 90.00
_cell_angle_gamma 90.00
loop_
_space_group_symop_operation_xyz
'x,y,z'
loop_
_atom_site_label
_atom_site_fract_x
_atom_site_fract_y
_atom_site_fract_z
Mn1 0.5000 0.5000 0.2500
Se1 0.5000 0.5000 0.7500
Te1 0.0000 0.0000 0.0678
Te2 0.0000 0.0000 0.4322
```

Record 18
Computed, not measured: crystalline MnTe2Se at its relaxed geometry at the PBE-GGA level of DFT.

D(E_F)	0.82	states/eV/atom
ΔE_f (raw)	0.063	eV/atom
symmetry	P4mm (99)
total magnetization	2.7	μB per cell
raw total energy	-4.6712	eV/atom

```
data_MnTe2Se
_chemical_formula_sum 'Mn1 Te2 Se1'
_space_group_name_H-M_alt 'P 1'
_space_group_IT_number 1
_cell_length_a 3.1079
_cell_length_b 3.1079
_cell_length_c 10.6911
_cell_angle_alpha 90.00
_cell_angle_beta 90.00
_cell_angle_gamma 90.00
loop_
_space_group_symop_operation_xyz
'x,y,z'
loop_
_atom_site_label
_atom_site_fract_x
_atom_site_fract_y
_atom_site_fract_z
Te1 0.5000 0.5000 0.3346
Te2 0.0000 0.0000 0.9860
Mn1 0.0000 0.0000 0.5265
Se1 0.5000 0.5000 0.6528
```

Record 19
Computed, not measured: crystalline MnTe2Se at its relaxed geometry at the PBE-GGA level of DFT.

D(E_F)	0.45	states/eV/atom
ΔE_f (raw)	-0.009	eV/atom
symmetry	Imm2 (44)
total magnetization	3.5	μB per cell
raw total energy	-4.7433	eV/atom

```
data_MnTe2Se
_chemical_formula_sum 'Mn1 Te2 Se1'
_space_group_name_H-M_alt 'P 1'
_space_group_IT_number 1
_cell_length_a 6.6610
_cell_length_b 6.6610
_cell_length_c 6.6610
_cell_angle_alpha 148.07
_cell_angle_beta 134.46
_cell_angle_gamma 56.69
loop_
_space_group_symop_operation_xyz
'x,y,z'
loop_
_atom_site_label
_atom_site_fract_x
_atom_site_fract_y
_atom_site_fract_z
Se1 0.6556 0.1556 0.5000
Te1 0.9842 0.9842 0.0000
Te2 0.3443 0.8443 0.5000
Mn1 0.5158 0.5158 0.0000
```

Record 20
Computed, not measured: crystalline Mn2TeSe at its relaxed geometry at the PBE-GGA level of DFT.

D(E_F)	0.48	states/eV/atom
E above lowest polymorph	0	meV per atom
ΔE_f (raw)	-0.177	eV/atom
symmetry	C2/m (12)
total magnetization	9.1	μB per cell
raw total energy	-6.4183	eV/atom

```
data_Mn2TeSe
_chemical_formula_sum 'Mn2 Te1 Se1'
_space_group_name_H-M_alt 'P 1'
_space_group_IT_number 1
_cell_length_a 3.9238
_cell_length_b 3.9238
_cell_length_c 6.8501
_cell_angle_alpha 73.44
_cell_angle_beta 73.44
_cell_angle_gamma 59.98
loop_
_space_group_symop_operation_xyz
'x,y,z'
loop_
_atom_site_label
_atom_site_fract_x
_atom_site_fract_y
_atom_site_fract_z
Te1 0.2500 0.2500 0.2500
Se1 0.7500 0.7500 0.7500
Mn1 0.0072 0.0072 0.9781
Mn2 0.4928 0.4928 0.5219
```